First-principles (PBE+U) data for CaMoF2 after structural relaxation, as listed in Alexandria.

a = 8.286 Å, b = 8.286 Å, c = 8.286 Å
α = 24.85°, β = 24.85°, γ = 24.85°
Sites, in units of the cell vectors:
1 Ca 0.000 0.000 0.000
2 Mo 0.500 0.500 0.500
3 F 0.374 0.374 0.374
4 F 0.626 0.626 0.626

Computed properties:
Electronic total energy   -5.2562 eV/atom
Calculated volume   22.10 Å³ per atom
Size of the total moment   5.1 μB/f.u.
Energy relative to the lowest polymorph listed for this composition   0.000 eV/atom